Here is U2GaOs after structural relaxation from Alexandria via LeMat-Bulk. Energies are from PBE.

abc: 4.3057 4.1176 4.1176
angles: 90.00 90.00 90.00
With the nearest neighbours (Å) after each atom.
Positions (direct):
Os  0.5000  0.0000  0.0000  4 Ga 2.91, 8 U 2.98
U  0.0000  0.0000  0.5000  4 U 2.91, 4 Ga 2.98, 4 Os 2.98
U  0.0000  0.5000  0.0000  4 U 2.91, 4 Ga 2.98, 4 Os 2.98
Ga  0.5000  0.5000  0.5000  4 Os 2.91, 8 U 2.98

Properties
Energy relative to the elements: -130 meV/atom
Electronic total energy: -37.353 eV per formula unit
Space-group type: P4/mmm, No. 123